1.
{
  "formula": "Ca3Ce3Pt4",
  "functional": "PBE",
  "state": "optimized geometry",
  "density_g_cm3": 8.72,
  "dos_ef_per_ev_cell": 20.8,
  "delta_e_f_ev_per_atom": -0.870,
  "cell": [[3.926, 0.000, 0.000], [0.000, 5.592, 5.725], [0.000, -5.592, 5.725]],
  "species": ["Ca", "Ca", "Ca", "Ce", "Ce", "Ce", "Pt", "Pt", "Pt", "Pt"],
  "fractional_positions": [[0.000, 0.000, 0.000], [0.500, 0.335, 0.847], [0.500, 0.847, 0.335], [0.000, 0.186, 0.502], [0.000, 0.502, 0.186], [0.000, 0.688, 0.688], [0.500, 0.217, 0.217], [0.500, 0.488, 0.488], [0.500, 0.689, 0.976], [0.500, 0.976, 0.689]]
}

---

2.
{
  "formula": "AcInRh4",
  "functional": "PBE",
  "state": "optimized geometry",
  "density_g_cm3": 11.01,
  "e_above_lowest_polymorph_mev_per_atom": 0,
  "dos_ef_per_ev_cell": 8.0,
  "delta_e_f_ev_per_atom": -0.333,
  "cell": [[0.000, 3.845, 3.845], [3.845, 0.000, 3.845], [3.845, 3.845, 0.000]],
  "species": ["Ac", "In", "Rh", "Rh", "Rh", "Rh"],
  "fractional_positions": [[0.000, 0.000, 0.000], [0.750, 0.750, 0.750], [0.376, 0.376, 0.376], [0.376, 0.376, 0.871], [0.376, 0.871, 0.376], [0.871, 0.376, 0.376]]
}